--- 1 ---
Compound: Tb6NdSm3
Source: Alexandria
Functional: PBE-GGA
Structure: optimized geometry

Summary:
As for the total moment: 0.000 μB per atom. Its space group is Cmc2_1, No. 36. The calculation puts the density at 7.7 g cm⁻³.

```
Tb6NdSm3
1.0
5.526 -9.525 0.000
5.526 9.525 0.000
0.000 0.000 6.317
Tb Nd Sm
12 2 6
Direct
0.041 0.959 0.500 Tb
0.048 0.468 0.988 Tb
0.277 0.723 0.261 Tb
0.289 0.379 0.159 Tb
0.379 0.289 0.659 Tb
0.468 0.048 0.488 Tb
0.532 0.952 0.988 Tb
0.621 0.711 0.159 Tb
0.711 0.621 0.659 Tb
0.723 0.277 0.761 Tb
0.952 0.532 0.488 Tb
0.959 0.041 0.000 Tb
0.198 0.802 0.746 Nd
0.802 0.198 0.246 Nd
0.062 0.287 0.577 Sm
0.287 0.062 0.077 Sm
0.388 0.612 0.688 Sm
0.612 0.388 0.188 Sm
0.713 0.938 0.577 Sm
0.938 0.713 0.077 Sm
```

---

--- 2 ---
Compound: Tb6NdSm3
Source: Alexandria
Functional: PBE-GGA
Structure: optimized geometry

Summary:
As for the total moment: 0.000 μB per atom. Its space group is R3, No. 146. The calculation puts the density at 7.7 g cm⁻³.

```
Tb6NdSm3
1.0
4.969 2.869 3.900
-4.969 2.869 3.900
0.000 -5.738 3.900
Tb Nd Sm
6 1 3
Direct
0.000 0.327 0.673 Tb
0.173 0.826 0.500 Tb
0.327 0.673 0.000 Tb
0.500 0.173 0.826 Tb
0.673 0.000 0.327 Tb
0.826 0.500 0.173 Tb
0.000 0.000 0.000 Nd
0.251 0.251 0.251 Sm
0.499 0.499 0.499 Sm
0.748 0.748 0.748 Sm
```

---

Short version: 2 is the least stable of them.

---

--- 1 ---
Compound: Tb3Nd3Sm5
Source: Alexandria
Functional: PBE-GGA
Structure: optimized geometry

Summary:
As for the total moment: 0.000 μB per atom. Its space group is P-62m, No. 189. The calculation puts the density at 6.1 g cm⁻³.

```
Tb3Nd3Sm5
1.0
9.756 0.000 0.000
-4.878 8.449 0.000
0.000 0.000 5.492
Tb Nd Sm
3 3 5
Direct
0.000 0.461 0.000 Tb
0.461 0.000 0.000 Tb
0.539 0.539 0.000 Tb
0.000 0.639 0.500 Nd
0.361 0.361 0.500 Nd
0.639 0.000 0.500 Nd
0.000 0.267 0.500 Sm
0.267 0.000 0.500 Sm
0.333 0.667 0.500 Sm
0.667 0.333 0.500 Sm
0.733 0.733 0.500 Sm
```

---

--- 2 ---
Compound: Tb3Nd3Sm5
Source: Alexandria
Functional: PBE-GGA
Structure: optimized geometry

Summary:
As for the total moment: 0.000 μB per atom. Its space group is P-62m, No. 189. The calculation puts the density at 6.0 g cm⁻³.

```
Tb3Nd3Sm5
1.0
9.730 0.000 0.000
-4.865 8.426 0.000
0.000 0.000 5.604
Tb Nd Sm
3 3 5
Direct
0.000 0.268 0.000 Tb
0.268 0.000 0.000 Tb
0.732 0.732 0.000 Tb
0.000 0.423 0.500 Nd
0.423 0.000 0.500 Nd
0.577 0.577 0.500 Nd
0.000 0.630 0.000 Sm
0.333 0.667 0.000 Sm
0.370 0.370 0.000 Sm
0.630 0.000 0.000 Sm
0.667 0.333 0.000 Sm
```

---

Short version: 1 is the least stable of them.

---

--- 1 ---
Compound: TbNd3Sm2
Source: Alexandria
Functional: PBE-GGA
Structure: optimized geometry

Summary:
As for the total moment: 0.000 μB per atom. Its space group is Ibam, No. 72. The calculation puts the density at 6.2 g cm⁻³.

```
TbNd3Sm2
1.0
-5.654 6.021 3.485
5.654 -6.021 3.485
5.654 6.021 -3.485
Tb Nd Sm
2 6 4
Direct
0.000 0.000 0.000 Tb
0.500 0.500 0.000 Tb
0.015 0.250 0.765 Nd
0.250 0.750 0.500 Nd
0.485 0.250 0.235 Nd
0.515 0.750 0.765 Nd
0.750 0.250 0.500 Nd
0.985 0.750 0.235 Nd
0.198 0.744 0.942 Sm
0.302 0.244 0.547 Sm
0.698 0.756 0.453 Sm
0.802 0.256 0.058 Sm
```

---

--- 2 ---
Compound: TbNd3Sm2
Source: Alexandria
Functional: PBE-GGA
Structure: optimized geometry

Summary:
As for the total moment: 0.000 μB per atom. Its space group is P2_1/m, No. 11. The calculation puts the density at 7.1 g cm⁻³.

```
TbNd3Sm2
1.0
8.569 0.000 0.000
0.000 3.732 0.000
-0.007 0.000 12.969
Tb Nd Sm
2 6 4
Direct
0.191 0.250 0.249 Tb
0.809 0.750 0.751 Tb
0.087 0.250 0.890 Nd
0.348 0.750 0.446 Nd
0.395 0.750 0.751 Nd
0.605 0.250 0.249 Nd
0.652 0.250 0.554 Nd
0.913 0.750 0.110 Nd
0.085 0.250 0.609 Sm
0.351 0.750 0.053 Sm
0.649 0.250 0.947 Sm
0.915 0.750 0.391 Sm
```

---

Short version: 1 is the least stable of them.

---

--- 1 ---
Compound: Tb12Nd7Sm
Source: Alexandria
Functional: PBE-GGA
Structure: optimized geometry

Summary:
As for the total moment: 0.000 μB per atom. Its space group is R-3, No. 148. The calculation puts the density at 7.4 g cm⁻³.

```
Tb12Nd7Sm
1.0
6.036 3.485 5.427
-6.036 3.485 5.427
0.000 -6.970 5.427
Tb Nd Sm
12 7 1
Direct
0.005 0.367 0.882 Tb
0.118 0.995 0.633 Tb
0.225 0.753 0.353 Tb
0.247 0.647 0.775 Tb
0.353 0.225 0.753 Tb
0.367 0.882 0.005 Tb
0.633 0.118 0.995 Tb
0.647 0.775 0.247 Tb
0.753 0.353 0.225 Tb
0.775 0.247 0.647 Tb
0.882 0.005 0.367 Tb
0.995 0.633 0.118 Tb
0.000 0.000 0.000 Nd
0.101 0.345 0.422 Nd
0.345 0.422 0.101 Nd
0.422 0.101 0.345 Nd
0.578 0.899 0.655 Nd
0.655 0.578 0.899 Nd
0.899 0.655 0.578 Nd
0.500 0.500 0.500 Sm
```

---

--- 2 ---
Compound: Tb12Nd7Sm
Source: Alexandria
Functional: PBE-GGA
Structure: optimized geometry

Summary:
As for the total moment: 0.000 μB per atom. Its space group is Im-3m, No. 229. The calculation puts the density at 6.9 g cm⁻³.

```
Tb12Nd7Sm
1.0
-5.694 5.694 5.694
5.694 -5.694 5.694
5.694 5.694 -5.694
Tb Nd Sm
12 7 1
Direct
0.000 0.249 0.751 Tb
0.000 0.751 0.249 Tb
0.249 0.000 0.751 Tb
0.249 0.249 0.497 Tb
0.249 0.497 0.249 Tb
0.249 0.751 0.000 Tb
0.497 0.249 0.249 Tb
0.503 0.751 0.751 Tb
0.751 0.000 0.249 Tb
0.751 0.249 0.000 Tb
0.751 0.503 0.751 Tb
0.751 0.751 0.503 Tb
0.000 0.000 0.500 Nd
0.000 0.500 0.000 Nd
0.000 0.500 0.500 Nd
0.500 0.000 0.000 Nd
0.500 0.000 0.500 Nd
0.500 0.500 0.000 Nd
0.500 0.500 0.500 Nd
0.000 0.000 0.000 Sm
```

---

Short version: 2 is the least stable of them.

---

--- 1 ---
Compound: Tb5NdSm
Source: Alexandria
Functional: PBE-GGA
Structure: optimized geometry

Summary:
As for the total moment: 0.000 μB per atom. Its space group is Immm, No. 71. The calculation puts the density at 6.1 g cm⁻³.

```
Tb5NdSm
1.0
-2.892 4.339 5.921
2.892 -4.339 5.921
2.892 4.339 -5.921
Tb Nd Sm
5 1 1
Direct
0.000 0.000 0.000 Tb
0.248 0.748 0.500 Tb
0.320 0.500 0.820 Tb
0.680 0.500 0.180 Tb
0.752 0.252 0.500 Tb
0.500 0.000 0.500 Nd
0.000 0.500 0.500 Sm
```

---

--- 2 ---
Compound: Tb5NdSm
Source: Alexandria
Functional: PBE-GGA
Structure: optimized geometry

Summary:
As for the total moment: 0.000 μB per atom. Its space group is C2/c, No. 15. The calculation puts the density at 7.8 g cm⁻³.

```
Tb5NdSm
1.0
5.904 -3.414 0.000
5.904 3.414 0.000
-4.173 0.000 11.493
Tb Nd Sm
10 2 2
Direct
0.084 0.355 0.750 Tb
0.087 0.913 0.750 Tb
0.152 0.692 0.000 Tb
0.308 0.848 0.500 Tb
0.355 0.084 0.250 Tb
0.645 0.916 0.750 Tb
0.692 0.152 0.500 Tb
0.848 0.308 0.000 Tb
0.913 0.087 0.250 Tb
0.916 0.645 0.250 Tb
0.473 0.527 0.250 Nd
0.527 0.473 0.750 Nd
0.000 0.500 0.500 Sm
0.500 0.000 0.000 Sm
```

---

Short version: 1 is the least stable of them.